# 1
! ZnIn2Mo PBE-GGA relaxed; values from VASP
&SYSTEM
  ibrav = 0, nat = 4, ntyp = 3
/
ATOMIC_SPECIES
In 114.82 In.upf
Mo 95.94 Mo.upf
Zn 65.41 Zn.upf
CELL_PARAMETERS angstrom
-5.156 1.553 0.656
-3.798 -2.791 -2.687
4.224 -1.145 3.205
ATOMIC_POSITIONS angstrom
In 0.000 0.000 0.000
In -2.026 -2.277 -0.248
Mo -4.477 -0.619 -1.015
Zn -2.705 -0.105 1.423
! energy relative to the elements	219	meV per atom
! uncorrected energy	-4.18	eV/atom
! density of states at the Fermi level	0.6	states/eV/cell
! volume	73.9	Å³/cell
! symmetry	No. 119
! magnetization	0.0000	μB/atom

---

# 2
! ZnIn2Mo2 PBE-GGA relaxed; values from VASP
&SYSTEM
  ibrav = 0, nat = 5, ntyp = 3
/
ATOMIC_SPECIES
In 114.82 In.upf
Zn 65.41 Zn.upf
Mo 95.94 Mo.upf
CELL_PARAMETERS angstrom
-3.727 -0.819 1.001
1.175 -0.863 3.666
-2.183 5.453 4.106
ATOMIC_POSITIONS angstrom
In -1.142 1.875 5.053
Zn 0.000 0.000 0.000
Mo -1.431 0.234 2.637
Mo -3.304 3.537 6.137
In -3.593 1.897 3.721
! energy relative to the elements	749	meV per atom
! uncorrected energy	-4.93	eV/atom
! density of states at the Fermi level	3.9	states/eV/cell
! volume	102.8	Å³/cell
! offset from the most stable computed form	0.422	eV per atom
! symmetry	No. 139
! magnetization	0.0000	μB/atom

---

# 3
! ZnIn2Mo PBE-GGA relaxed; values from VASP
&SYSTEM
  ibrav = 0, nat = 4, ntyp = 3
/
ATOMIC_SPECIES
Zn 65.41 Zn.upf
Mo 95.94 Mo.upf
In 114.82 In.upf
CELL_PARAMETERS angstrom
-0.438 -9.101 -2.345
0.057 -9.381 0.721
-2.838 -8.963 -0.360
ATOMIC_POSITIONS angstrom
Zn -2.415 -20.584 -1.488
Mo -0.805 -6.861 -0.496
In -1.610 -13.726 -0.992
In -3.219 -27.442 -1.984
! energy relative to the elements	341	meV per atom
! uncorrected energy	-4.05	eV/atom
! density of states at the Fermi level	3.4	states/eV/cell
! volume	77.8	Å³/cell
! symmetry	No. 166
! magnetization	0.1111	μB/atom

---

# 4
! ZnIn2Mo PBE-GGA relaxed; values from VASP
&SYSTEM
  ibrav = 0, nat = 4, ntyp = 3
/
ATOMIC_SPECIES
In 114.82 In.upf
Zn 65.41 Zn.upf
Mo 95.94 Mo.upf
CELL_PARAMETERS angstrom
9.758 -0.016 -0.010
9.274 3.034 -0.010
9.274 1.471 2.654
ATOMIC_POSITIONS angstrom
In 6.864 1.088 0.639
Zn 21.428 3.398 1.995
Mo 14.015 2.222 1.305
In 0.151 0.024 0.014
! energy relative to the elements	337	meV per atom
! uncorrected energy	-4.06	eV/atom
! density of states at the Fermi level	2.7	states/eV/cell
! volume	79.3	Å³/cell
! symmetry	No. 160
! magnetization	0.0000	μB/atom

---

# 5
! ZnIn2Mo PBE-GGA relaxed; values from VASP
&SYSTEM
  ibrav = 0, nat = 4, ntyp = 3
/
ATOMIC_SPECIES
In 114.82 In.upf
Mo 95.94 Mo.upf
Zn 65.41 Zn.upf
CELL_PARAMETERS angstrom
5.603 -0.002 0.033
4.849 2.806 0.033
0.921 0.247 4.934
ATOMIC_POSITIONS angstrom
In 10.339 2.774 0.279
Mo 5.961 1.599 2.652
Zn 2.469 0.662 1.153
In 8.742 2.346 3.480
! energy relative to the elements	248	meV per atom
! uncorrected energy	-4.15	eV/atom
! density of states at the Fermi level	1.4	states/eV/cell
! volume	77.5	Å³/cell
! symmetry	No. 8
! magnetization	0.0000	μB/atom

---

# 6
! ZnIn2Mo PBE-GGA relaxed; values from VASP
&SYSTEM
  ibrav = 0, nat = 4, ntyp = 3
/
ATOMIC_SPECIES
Mo 95.94 Mo.upf
In 114.82 In.upf
Zn 65.41 Zn.upf
CELL_PARAMETERS angstrom
-2.595 0.832 -3.828
1.049 -2.380 -1.228
-4.229 -3.008 2.214
ATOMIC_POSITIONS angstrom
Mo -2.093 -0.931 -1.668
In -1.305 -3.270 0.174
In 0.764 -1.804 -0.910
Zn -3.683 -3.625 -1.175
! energy relative to the elements	360	meV per atom
! uncorrected energy	-4.04	eV/atom
! density of states at the Fermi level	1.9	states/eV/cell
! volume	76.3	Å³/cell
! symmetry	No. 47
! magnetization	0.0000	μB/atom

---

# 7
! ZnIn2Mo PBE-GGA relaxed; values from VASP
&SYSTEM
  ibrav = 0, nat = 4, ntyp = 3
/
ATOMIC_SPECIES
In 114.82 In.upf
Zn 65.41 Zn.upf
Mo 95.94 Mo.upf
CELL_PARAMETERS angstrom
3.641 0.000 0.000
0.000 3.641 0.000
0.000 0.000 5.803
ATOMIC_POSITIONS angstrom
In 1.821 1.821 1.614
Zn 1.821 1.821 4.250
Mo 0.000 0.000 2.922
In 0.000 0.000 5.721
! energy relative to the elements	337	meV per atom
! uncorrected energy	-4.06	eV/atom
! density of states at the Fermi level	4.4	states/eV/cell
! volume	76.9	Å³/cell
! symmetry	No. 99
! magnetization	0.0639	μB/atom

---

# 8
! ZrIn4Mo PBE-GGA relaxed; values from VASP
&SYSTEM
  ibrav = 0, nat = 6, ntyp = 3
/
ATOMIC_SPECIES
In 114.82 In.upf
Zr 91.22 Zr.upf
Mo 95.94 Mo.upf
CELL_PARAMETERS angstrom
0.000 4.011 4.011
4.011 0.000 4.011
4.011 4.011 0.000
ATOMIC_POSITIONS angstrom
In 3.008 5.014 5.014
In 5.014 5.014 3.008
Zr 0.000 0.000 0.000
In 3.008 3.008 3.008
Mo 6.017 6.017 6.017
In 5.014 3.008 5.014
! energy relative to the elements	476	meV per atom
! uncorrected energy	-4.58	eV/atom
! density of states at the Fermi level	5.6	states/eV/cell
! volume	129.1	Å³/cell
! symmetry	No. 216
! magnetization	0.1157	μB/atom

---

Question: What is the uncorrected energy in the second record?
Answer: -4.93 eV/atom